Material: KNiNO2
Method: DFT, GGA+U
State: relaxed

The structure in CIF format:
```
data_KNiNO2
_cell_length_a 4.0039
_cell_length_b 4.0039
_cell_length_c 3.9299
_cell_angle_alpha 90.00
_cell_angle_beta 90.00
_cell_angle_gamma 90.00
_space_group_name_H-M_alt 'P 4/m m m'
_space_group_IT_number 123
_space_group_name_Hall '-P 4 2'
loop_
_atom_site_label
_atom_site_fract_x
_atom_site_fract_y
_atom_site_fract_z
_atom_site_occupancy
K1 0.0000 0.0000 0.0000 1
Ni1 0.5000 0.5000 0.5000 1
N1 0.5000 0.5000 0.0000 1
O1 0.0000 0.5000 0.5000 1
```

total magnetization = 2.0 μB/f.u.
energy = -4.15 eV/atom